1.
# AuF3, relaxed, DFT GGA-PBEsol
# * symmetry: No. 178
data_AuF3
_cell_length_a 5.107
_cell_length_b 5.107
_cell_length_c 16.280
_cell_angle_alpha 90.00
_cell_angle_beta 90.00
_cell_angle_gamma 120.00
_space_group_name_H-M_alt 'P 1'
_space_group_IT_number 1
loop_
_space_group_symop_operation_xyz
'x,y,z'
loop_
_atom_site_label
_atom_site_type_symbol
_atom_site_fract_x
_atom_site_fract_y
_atom_site_fract_z
_atom_site_occupancy
F1 F 0.834 0.000 0.833 1
F2 F 0.791 0.318 0.337 1
F3 F 0.000 0.166 0.667 1
F4 F 0.209 0.682 0.837 1
Au1 Au 0.756 0.512 0.083 1
F5 F 0.527 0.209 0.004 1
F6 F 0.166 0.000 0.333 1
F7 F 0.527 0.318 0.830 1
F8 F 0.473 0.791 0.504 1
Au2 Au 0.488 0.244 0.417 1
F9 F 0.791 0.473 0.496 1
Au3 Au 0.512 0.756 0.917 1
F10 F 0.318 0.527 0.170 1
F11 F 0.682 0.473 0.670 1
F12 F 0.209 0.527 0.996 1
F13 F 0.473 0.682 0.330 1
F14 F 0.166 0.166 0.500 1
F15 F 0.318 0.791 0.663 1
Au4 Au 0.244 0.488 0.583 1
Au5 Au 0.244 0.756 0.250 1
Au6 Au 0.756 0.244 0.750 1
F16 F 0.000 0.834 0.167 1
F17 F 0.682 0.209 0.163 1
F18 F 0.834 0.834 0.000 1


2.
# Fe3AuF, relaxed, DFT GGA-PBEsol
# * symmetry: No. 221
data_Fe3AuF
_cell_length_a 4.006
_cell_length_b 4.006
_cell_length_c 4.006
_cell_angle_alpha 90.00
_cell_angle_beta 90.00
_cell_angle_gamma 90.00
_space_group_name_H-M_alt 'P 1'
_space_group_IT_number 1
loop_
_space_group_symop_operation_xyz
'x,y,z'
loop_
_atom_site_label
_atom_site_type_symbol
_atom_site_fract_x
_atom_site_fract_y
_atom_site_fract_z
_atom_site_occupancy
Au1 Au 0.500 0.500 0.500 1
Fe1 Fe 0.000 0.500 0.000 1
Fe2 Fe 0.500 0.000 0.000 1
Fe3 Fe 0.000 0.000 0.500 1
F1 F 0.000 0.000 0.000 1


3.
# FeAuNF2, relaxed, DFT GGA-PBEsol
# * symmetry: No. 123
data_FeAuNF2
_cell_length_a 3.706
_cell_length_b 4.503
_cell_length_c 4.503
_cell_angle_alpha 90.00
_cell_angle_beta 90.00
_cell_angle_gamma 90.00
_space_group_name_H-M_alt 'P 1'
_space_group_IT_number 1
loop_
_space_group_symop_operation_xyz
'x,y,z'
loop_
_atom_site_label
_atom_site_type_symbol
_atom_site_fract_x
_atom_site_fract_y
_atom_site_fract_z
_atom_site_occupancy
F1 F 0.000 0.500 0.000 1
N1 N 0.500 0.000 0.000 1
Fe1 Fe 0.500 0.500 0.500 1
Au1 Au 0.000 0.000 0.000 1
F2 F 0.000 0.000 0.500 1


4.
# FeAu2NF, relaxed, DFT GGA-PBEsol
# * symmetry: No. 123
data_FeAu2NF
_cell_length_a 3.637
_cell_length_b 4.331
_cell_length_c 4.331
_cell_angle_alpha 90.00
_cell_angle_beta 90.00
_cell_angle_gamma 90.00
_space_group_name_H-M_alt 'P 1'
_space_group_IT_number 1
loop_
_space_group_symop_operation_xyz
'x,y,z'
loop_
_atom_site_label
_atom_site_type_symbol
_atom_site_fract_x
_atom_site_fract_y
_atom_site_fract_z
_atom_site_occupancy
Fe1 Fe 0.500 0.000 0.000 1
Au1 Au 0.000 0.000 0.500 1
N1 N 0.000 0.000 0.000 1
F1 F 0.500 0.500 0.500 1
Au2 Au 0.000 0.500 0.000 1


no.,VASP energy (eV per atom),formation energy without anion corrections (meV/atom)
1,-3.4141,-987
2,-6.3448,204
3,-4.4857,568
4,-5.2047,248